[1]
5
Lattice="4.587 0.000 0.000 0.000 4.587 0.000 0.000 0.000 3.763" Properties=species:S:1:pos:R:3 comment="CsCrOF2, optimized geometry, DFT GGA+U" e_above_lowest_polymorph_kj_per_mol_atoms=0.0 final_energy_ev_per_cell=-27.928 pbc="T T T"
Cs 2.293 2.293 1.881
Cr 0.000 0.000 0.000
O 0.000 0.000 1.881
F 0.000 2.293 0.000
F 2.293 0.000 0.000

***

[2]
5
Lattice="5.179 0.000 0.000 0.000 5.179 0.000 0.000 0.000 4.455" Properties=species:S:1:pos:R:3 comment="CsCrOF2, optimized geometry, DFT GGA+U" e_above_lowest_polymorph_kj_per_mol_atoms=162.6 final_energy_ev_per_cell=-19.500 pbc="T T T"
Cs 0.000 0.000 0.000
Cr 2.590 2.590 2.227
O 0.000 0.000 2.227
F 0.000 2.590 0.000
F 2.590 0.000 0.000

***

[3]
12
Lattice="0.314 -3.731 4.493 0.954 4.454 3.668 -6.740 1.033 5.020" Properties=species:S:1:pos:R:3 comment="CsCrO3F, optimized geometry, DFT GGA+U" final_energy_ev_per_cell=-70.866 pbc="T T T"
Cs -4.217 4.257 7.433
Cs -1.336 -2.514 5.554
Cr -4.471 0.055 7.995
Cr -0.932 1.704 5.266
O -1.600 2.837 6.227
O -5.291 -0.748 9.150
O -0.002 0.712 6.159
O -3.386 1.049 8.687
O -3.730 -1.009 7.014
O -0.051 2.425 4.106
F -5.599 1.040 7.014
F -2.213 0.730 4.484

***

[4]
5
Lattice="3.994 0.000 0.000 0.000 3.994 0.000 0.000 0.000 4.444" Properties=species:S:1:pos:R:3 comment="CsCrO2F, optimized geometry, DFT GGA+U" final_energy_ev_per_cell=-28.196 pbc="T T T"
Cs 1.997 1.997 2.222
Cr 0.000 0.000 0.000
O 0.000 1.997 0.000
O 1.997 0.000 0.000
F 0.000 0.000 2.222

***

[5]
5
Lattice="4.452 0.000 0.000 0.000 4.452 0.000 0.000 0.000 5.222" Properties=species:S:1:pos:R:3 comment="CsCrO2F, optimized geometry, DFT GGA+U" final_energy_ev_per_cell=-16.945 pbc="T T T"
Cs 0.000 0.000 0.000
Cr 2.226 2.226 2.611
O 0.000 2.226 0.000
O 2.226 0.000 0.000
F 0.000 0.000 2.611

***

[6]
18
Lattice="-6.262 -0.847 -5.345 -4.123 -3.599 5.399 3.195 6.908 1.571" Properties=species:S:1:pos:R:3 comment="CsCrPbF6, optimized geometry, DFT GGA+U" final_energy_ev_per_cell=-95.055 pbc="T T T"
Cs -5.558 1.951 -0.206
Cs -1.632 0.511 1.831
Cr -5.192 -2.223 0.027
Cr -3.131 -0.423 -2.673
Pb -1.533 3.031 -1.887
Pb 1.597 3.454 0.785
F -6.389 -2.732 1.510
F -3.565 3.913 -2.850
F -4.772 0.549 -3.022
F -4.571 -0.803 1.192
F -2.702 0.829 -1.255
F -6.641 -1.082 -0.575
F -0.800 5.195 0.115
F -3.624 -1.451 4.475
F -2.418 1.913 4.647
F -2.619 3.265 0.433
F -4.487 1.633 2.880
F -0.549 3.545 2.200

***

[7]
12
Lattice="-5.009 -2.570 0.188 -0.127 -0.995 5.396 -3.482 5.673 3.686" Properties=species:S:1:pos:R:3 comment="CsCrPb2F8, optimized geometry, DFT GGA+U" final_energy_ev_per_cell=-61.653 pbc="T T T"
Cs -1.741 2.837 1.843
Cr 0.000 0.000 0.000
Pb -5.101 2.815 5.039
Pb -3.517 -0.707 4.231
F -5.619 -1.834 4.774
F -6.845 2.228 8.473
F -4.273 -1.672 1.758
F -2.999 3.942 4.496
F -1.773 -0.120 0.797
F -4.345 3.780 7.512
F -4.401 0.677 5.886
F -4.217 1.431 3.384

***

[8]
18
Lattice="-6.004 5.754 3.550 -9.005 0.310 0.762 -5.933 -0.222 6.820" Properties=species:S:1:pos:R:3 comment="Cs2CrPd3F12, optimized geometry, DFT GGA+U" final_energy_ev_per_cell=-81.790 pbc="T T T"
Cs -13.137 3.665 6.983
Cs -7.806 2.178 4.149
Cr 0.000 0.000 0.000
Pd -3.002 2.877 1.775
Pd -4.502 0.155 0.381
Pd -2.967 -0.111 3.410
F -10.577 1.867 7.740
F -15.512 5.471 6.012
F -15.469 1.830 8.005
F -10.618 5.318 5.851
F -13.641 5.147 9.703
F -12.352 2.174 4.241
F -10.365 3.976 3.392
F -5.430 0.371 5.120
F -5.473 4.013 3.128
F -10.324 0.524 5.281
F -7.302 0.695 1.429
F -8.591 3.669 6.891

***

[9]
18
Lattice="-2.809 -1.693 -7.874 0.788 -7.689 0.959 -4.542 4.364 5.479" Properties=species:S:1:pos:R:3 comment="CsPmCrF6, optimized geometry, DFT GGA+U" final_energy_ev_per_cell=-107.639 pbc="T T T"
Cs -4.558 -2.968 -2.480
Cs -2.005 -2.050 1.044
Pm -3.676 1.336 -1.198
Pm -2.271 2.182 2.740
Cr -1.010 -4.691 -3.458
Cr -1.404 -0.846 -3.937
F -4.868 -2.221 2.099
F -5.182 0.873 -2.870
F -3.251 -0.805 -4.795
F -1.871 -4.869 -1.618
F -2.518 -0.493 -1.812
F -3.229 -5.232 -4.401
F -1.695 -2.798 -3.535
F -1.381 -5.891 1.434
F -3.312 -4.213 3.359
F -4.692 -0.149 0.182
F -4.045 -4.525 0.375
F -3.334 0.214 2.965

***

[10]
15
Lattice="-0.418 -4.275 -4.682 -2.474 -1.288 5.709 -7.024 3.224 -2.316" Properties=species:S:1:pos:R:3 comment="Cs3RbCr2F9, optimized geometry, DFT GGA+U" final_energy_ev_per_cell=-76.201 pbc="T T T"
Cs -6.462 -0.139 0.704
Cs 0.000 0.000 0.000
Cs -3.453 -2.201 -1.993
Rb -3.512 1.612 -1.158
Cr -2.786 -1.826 1.917
Cr -7.130 -0.514 -3.206
F -5.817 -1.416 -4.394
F -6.904 -1.982 -1.885
F -5.633 0.463 -2.337
F -4.283 -2.803 1.048
F -3.012 -0.358 0.596
F -4.099 -0.924 3.105
F -0.209 -2.138 -2.341
F -1.237 -0.644 2.855
F -1.446 -2.782 0.514

***

[11]
20
Lattice="-2.511 2.509 6.963 7.229 -2.884 0.722 0.067 5.965 -5.050" Properties=species:S:1:pos:R:3 comment="Cs4RbCr3F12, optimized geometry, DFT GGA+U" final_energy_ev_per_cell=-103.649 pbc="T T T"
Cs 2.392 2.795 1.318
Cs 0.033 2.983 -2.525
Cs -1.256 1.255 3.482
Cs 3.614 -1.442 0.361
Rb 0.000 0.000 0.000
Cr -1.222 4.237 0.957
Cr 2.359 -0.187 3.843
Cr 3.648 1.541 -2.164
F 3.037 3.660 -1.686
F -1.745 6.048 1.366
F -0.700 2.426 0.548
F 1.748 1.931 4.321
F 3.367 -0.267 5.485
F 1.351 -0.107 2.200
F -0.043 4.144 2.878
F 4.827 1.447 -0.243
F 0.602 5.008 -0.125
F 5.207 2.200 -3.089
F 4.183 0.583 2.761
F 2.089 0.882 -1.239

***

[12]
12
Lattice="-5.464 2.620 3.872 -1.901 -2.227 -6.569 2.589 -5.705 3.532" Properties=species:S:1:pos:R:3 comment="CsRbCr2F8, optimized geometry, DFT GGA+U" final_energy_ev_per_cell=-62.067 pbc="T T T"
Cs -1.497 -3.867 -2.193
Rb 0.000 0.000 0.000
Cr -3.279 -1.444 3.028
Cr -3.683 0.197 -1.348
F -1.804 -0.929 2.017
F -2.370 -1.116 -1.385
F 0.002 -4.324 3.102
F -2.859 -2.060 4.733
F -5.339 -0.224 -0.624
F -4.353 0.062 3.238
F -4.100 -2.848 2.124
F -1.846 -4.958 0.578